(1)
# PBE-GGA Ba2Ir, relaxed
data_Ba2Ir
_cell_length_a 9.2736
_cell_length_b 9.2736
_cell_length_c 9.2736
_cell_angle_alpha 60.00
_cell_angle_beta 60.00
_cell_angle_gamma 60.00
_space_group_name_H-M_alt 'P 1'
_space_group_IT_number 1
loop_
_space_group_symop_operation_xyz
'x,y,z'
loop_
_atom_site_label
_atom_site_type_symbol
_atom_site_fract_x
_atom_site_fract_y
_atom_site_fract_z
Ba1 Ba 0.0000 0.0000 0.0000
Ba2 Ba 0.0000 0.0000 0.5000
Ba3 Ba 0.0000 0.5000 0.0000
Ba4 Ba 0.5000 0.0000 0.0000
Ir1 Ir 0.1250 0.1250 0.1250
Ir2 Ir 0.8750 0.8750 0.8750
# - Symmetry: Fd-3m


(2)
# PBE-GGA KBa2IrSe6, relaxed
data_KBa2IrSe6
_cell_length_a 6.9454
_cell_length_b 6.9454
_cell_length_c 6.9454
_cell_angle_alpha 72.28
_cell_angle_beta 72.28
_cell_angle_gamma 72.28
_space_group_name_H-M_alt 'P 1'
_space_group_IT_number 1
loop_
_space_group_symop_operation_xyz
'x,y,z'
loop_
_atom_site_label
_atom_site_type_symbol
_atom_site_fract_x
_atom_site_fract_y
_atom_site_fract_z
K1 K 0.0000 0.0000 0.0000
Ba1 Ba 0.2506 0.2506 0.2506
Ba2 Ba 0.7494 0.7494 0.7494
Ir1 Ir 0.5012 0.5012 0.5012
Se1 Se 0.1762 0.3696 0.6949
Se2 Se 0.3047 0.8232 0.6295
Se3 Se 0.3696 0.6949 0.1762
Se4 Se 0.6295 0.3047 0.8232
Se5 Se 0.6949 0.1762 0.3696
Se6 Se 0.8232 0.6295 0.3047
# - Symmetry: R3


(3)
# PBE-GGA Ba2LaIrO6, relaxed
data_Ba2LaIrO6
_cell_length_a 6.0604
_cell_length_b 6.0460
_cell_length_c 10.4923
_cell_angle_alpha 90.00
_cell_angle_beta 125.22
_cell_angle_gamma 90.00
_space_group_name_H-M_alt 'P 1'
_space_group_IT_number 1
loop_
_space_group_symop_operation_xyz
'x,y,z'
loop_
_atom_site_label
_atom_site_type_symbol
_atom_site_fract_x
_atom_site_fract_y
_atom_site_fract_z
Ba1 Ba 0.2495 0.0031 0.2494
Ba2 Ba 0.2495 0.4969 0.7494
Ba3 Ba 0.7505 0.5031 0.2506
Ba4 Ba 0.7505 0.9969 0.7506
La1 La 0.5000 0.0000 0.0000
La2 La 0.5000 0.5000 0.5000
Ir1 Ir 0.0000 0.0000 0.5000
Ir2 Ir 0.0000 0.5000 0.0000
O1 O 0.2048 0.2438 0.4889
O2 O 0.2048 0.2562 0.9889
O3 O 0.2325 0.7165 0.9895
O4 O 0.2325 0.7835 0.4895
O5 O 0.2516 0.0016 0.7301
O6 O 0.2516 0.4984 0.2301
O7 O 0.7484 0.5016 0.7699
O8 O 0.7484 0.9984 0.2699
O9 O 0.7675 0.2165 0.5105
O10 O 0.7675 0.2835 0.0105
O11 O 0.7952 0.7438 0.0111
O12 O 0.7952 0.7562 0.5111
# - Symmetry: P2_1/c


(4)
# PBE-GGA BaLiIr, relaxed
data_BaLiIr
_cell_length_a 6.8531
_cell_length_b 6.8531
_cell_length_c 6.8531
_cell_angle_alpha 90.00
_cell_angle_beta 90.00
_cell_angle_gamma 90.00
_space_group_name_H-M_alt 'P 1'
_space_group_IT_number 1
loop_
_space_group_symop_operation_xyz
'x,y,z'
loop_
_atom_site_label
_atom_site_type_symbol
_atom_site_fract_x
_atom_site_fract_y
_atom_site_fract_z
Ba1 Ba 0.0000 0.0000 0.0000
Ba2 Ba 0.0000 0.5000 0.5000
Ba3 Ba 0.5000 0.0000 0.5000
Ba4 Ba 0.5000 0.5000 0.0000
Li1 Li 0.0000 0.0000 0.5000
Li2 Li 0.0000 0.5000 0.0000
Li3 Li 0.5000 0.0000 0.0000
Li4 Li 0.5000 0.5000 0.5000
Ir1 Ir 0.2500 0.2500 0.2500
Ir2 Ir 0.2500 0.7500 0.7500
Ir3 Ir 0.7500 0.2500 0.7500
Ir4 Ir 0.7500 0.7500 0.2500
# - Energy relative to the lowest polymorph listed for this composition: 0 meV/atom
# - Symmetry: F-43m


(5)
# PBE-GGA Ba3LiIrO6, relaxed
data_Ba3LiIrO6
_cell_length_a 7.0122
_cell_length_b 7.0122
_cell_length_c 7.0122
_cell_angle_alpha 93.02
_cell_angle_beta 93.02
_cell_angle_gamma 93.02
_space_group_name_H-M_alt 'P 1'
_space_group_IT_number 1
loop_
_space_group_symop_operation_xyz
'x,y,z'
loop_
_atom_site_label
_atom_site_type_symbol
_atom_site_fract_x
_atom_site_fract_y
_atom_site_fract_z
Ba1 Ba 0.1076 0.7500 0.3923
Ba2 Ba 0.2500 0.6076 0.8924
Ba3 Ba 0.3923 0.1076 0.7500
Ba4 Ba 0.6076 0.8924 0.2500
Ba5 Ba 0.7500 0.3923 0.1076
Ba6 Ba 0.8924 0.2500 0.6076
Li1 Li 0.2500 0.2500 0.2500
Li2 Li 0.7500 0.7500 0.7500
Ir1 Ir 0.0000 0.0000 0.0000
Ir2 Ir 0.5000 0.5000 0.5000
O1 O 0.0409 0.9114 0.7290
O2 O 0.0886 0.2710 0.9591
O3 O 0.2290 0.4114 0.5409
O4 O 0.2710 0.9591 0.0886
O5 O 0.4114 0.5409 0.2290
O6 O 0.4591 0.7710 0.5886
O7 O 0.5409 0.2290 0.4114
O8 O 0.5886 0.4591 0.7710
O9 O 0.7290 0.0409 0.9114
O10 O 0.7710 0.5886 0.4591
O11 O 0.9114 0.7290 0.0409
O12 O 0.9591 0.0886 0.2710
# - Symmetry: R-3c


(6)
# PBE-GGA BaLiP2Ir, relaxed
data_BaLiP2Ir
_cell_length_a 4.1022
_cell_length_b 4.1022
_cell_length_c 11.9889
_cell_angle_alpha 90.00
_cell_angle_beta 90.00
_cell_angle_gamma 90.00
_space_group_name_H-M_alt 'P 1'
_space_group_IT_number 1
loop_
_space_group_symop_operation_xyz
'x,y,z'
loop_
_atom_site_label
_atom_site_type_symbol
_atom_site_fract_x
_atom_site_fract_y
_atom_site_fract_z
Ba1 Ba 0.0000 0.0000 0.0000
Ba2 Ba 0.5000 0.5000 0.5000
Li1 Li 0.0000 0.5000 0.7500
Li2 Li 0.5000 0.0000 0.2500
P1 P 0.0000 0.0000 0.3468
P2 P 0.0000 0.0000 0.6532
P3 P 0.5000 0.5000 0.1532
P4 P 0.5000 0.5000 0.8468
Ir1 Ir 0.0000 0.5000 0.2500
Ir2 Ir 0.5000 0.0000 0.7500
# - Symmetry: I-4m2


(7)
# PBE-GGA BaLiIrW, relaxed
data_BaLiIrW
_cell_length_a 6.8650
_cell_length_b 6.8650
_cell_length_c 6.8650
_cell_angle_alpha 90.00
_cell_angle_beta 90.00
_cell_angle_gamma 90.00
_space_group_name_H-M_alt 'P 1'
_space_group_IT_number 1
loop_
_space_group_symop_operation_xyz
'x,y,z'
loop_
_atom_site_label
_atom_site_type_symbol
_atom_site_fract_x
_atom_site_fract_y
_atom_site_fract_z
Ba1 Ba 0.0000 0.0000 0.0000
Ba2 Ba 0.0000 0.5000 0.5000
Ba3 Ba 0.5000 0.0000 0.5000
Ba4 Ba 0.5000 0.5000 0.0000
Li1 Li 0.0000 0.0000 0.5000
Li2 Li 0.0000 0.5000 0.0000
Li3 Li 0.5000 0.0000 0.0000
Li4 Li 0.5000 0.5000 0.5000
Ir1 Ir 0.2500 0.2500 0.2500
Ir2 Ir 0.2500 0.7500 0.7500
Ir3 Ir 0.7500 0.2500 0.7500
Ir4 Ir 0.7500 0.7500 0.2500
W1 W 0.2500 0.2500 0.7500
W2 W 0.2500 0.7500 0.2500
W3 W 0.7500 0.2500 0.2500
W4 W 0.7500 0.7500 0.7500
# - Energy relative to the lowest polymorph listed for this composition: 605 meV/atom
# - Symmetry: F-43m


(8)
# PBE-GGA BaLiIrW, relaxed
data_BaLiIrW
_cell_length_a 6.9293
_cell_length_b 6.9293
_cell_length_c 6.9293
_cell_angle_alpha 90.00
_cell_angle_beta 90.00
_cell_angle_gamma 90.00
_space_group_name_H-M_alt 'P 1'
_space_group_IT_number 1
loop_
_space_group_symop_operation_xyz
'x,y,z'
loop_
_atom_site_label
_atom_site_type_symbol
_atom_site_fract_x
_atom_site_fract_y
_atom_site_fract_z
Ba1 Ba 0.0000 0.0000 0.0000
Ba2 Ba 0.0000 0.5000 0.5000
Ba3 Ba 0.5000 0.0000 0.5000
Ba4 Ba 0.5000 0.5000 0.0000
Li1 Li 0.2500 0.2500 0.2500
Li2 Li 0.2500 0.7500 0.7500
Li3 Li 0.7500 0.2500 0.7500
Li4 Li 0.7500 0.7500 0.2500
Ir1 Ir 0.2500 0.2500 0.7500
Ir2 Ir 0.2500 0.7500 0.2500
Ir3 Ir 0.7500 0.2500 0.2500
Ir4 Ir 0.7500 0.7500 0.7500
W1 W 0.0000 0.0000 0.5000
W2 W 0.0000 0.5000 0.0000
W3 W 0.5000 0.0000 0.0000
W4 W 0.5000 0.5000 0.5000
# - Energy relative to the lowest polymorph listed for this composition: 197 meV/atom
# - Symmetry: F-43m


(9)
# PBE-GGA BaLiIrW, relaxed
data_BaLiIrW
_cell_length_a 6.7155
_cell_length_b 6.7155
_cell_length_c 6.7155
_cell_angle_alpha 90.00
_cell_angle_beta 90.00
_cell_angle_gamma 90.00
_space_group_name_H-M_alt 'P 1'
_space_group_IT_number 1
loop_
_space_group_symop_operation_xyz
'x,y,z'
loop_
_atom_site_label
_atom_site_type_symbol
_atom_site_fract_x
_atom_site_fract_y
_atom_site_fract_z
Ba1 Ba 0.0000 0.0000 0.0000
Ba2 Ba 0.0000 0.5000 0.5000
Ba3 Ba 0.5000 0.0000 0.5000
Ba4 Ba 0.5000 0.5000 0.0000
Li1 Li 0.2500 0.2500 0.7500
Li2 Li 0.2500 0.7500 0.2500
Li3 Li 0.7500 0.2500 0.2500
Li4 Li 0.7500 0.7500 0.7500
Ir1 Ir 0.0000 0.0000 0.5000
Ir2 Ir 0.0000 0.5000 0.0000
Ir3 Ir 0.5000 0.0000 0.0000
Ir4 Ir 0.5000 0.5000 0.5000
W1 W 0.2500 0.2500 0.2500
W2 W 0.2500 0.7500 0.7500
W3 W 0.7500 0.2500 0.7500
W4 W 0.7500 0.7500 0.2500
# - Energy relative to the lowest polymorph listed for this composition: 0 meV/atom
# - Symmetry: F-43m


(10)
# PBE-GGA BaLu2Ir, relaxed
data_BaLu2Ir
_cell_length_a 7.4668
_cell_length_b 7.4668
_cell_length_c 7.4668
_cell_angle_alpha 90.00
_cell_angle_beta 90.00
_cell_angle_gamma 90.00
_space_group_name_H-M_alt 'P 1'
_space_group_IT_number 1
loop_
_space_group_symop_operation_xyz
'x,y,z'
loop_
_atom_site_label
_atom_site_type_symbol
_atom_site_fract_x
_atom_site_fract_y
_atom_site_fract_z
Ba1 Ba 0.0000 0.0000 0.0000
Ba2 Ba 0.0000 0.5000 0.5000
Ba3 Ba 0.5000 0.0000 0.5000
Ba4 Ba 0.5000 0.5000 0.0000
Lu1 Lu 0.0000 0.0000 0.5000
Lu2 Lu 0.0000 0.5000 0.0000
Lu3 Lu 0.2500 0.2500 0.7500
Lu4 Lu 0.2500 0.7500 0.2500
Lu5 Lu 0.5000 0.0000 0.0000
Lu6 Lu 0.5000 0.5000 0.5000
Lu7 Lu 0.7500 0.2500 0.2500
Lu8 Lu 0.7500 0.7500 0.7500
Ir1 Ir 0.2500 0.2500 0.2500
Ir2 Ir 0.2500 0.7500 0.7500
Ir3 Ir 0.7500 0.2500 0.7500
Ir4 Ir 0.7500 0.7500 0.2500
# - Symmetry: F-43m


(11)
# PBE-GGA Ba2LuIr, relaxed
data_Ba2LuIr
_cell_length_a 7.7521
_cell_length_b 7.7521
_cell_length_c 7.7521
_cell_angle_alpha 90.00
_cell_angle_beta 90.00
_cell_angle_gamma 90.00
_space_group_name_H-M_alt 'P 1'
_space_group_IT_number 1
loop_
_space_group_symop_operation_xyz
'x,y,z'
loop_
_atom_site_label
_atom_site_type_symbol
_atom_site_fract_x
_atom_site_fract_y
_atom_site_fract_z
Ba1 Ba 0.0000 0.0000 0.0000
Ba2 Ba 0.0000 0.5000 0.5000
Ba3 Ba 0.2500 0.2500 0.2500
Ba4 Ba 0.2500 0.7500 0.7500
Ba5 Ba 0.5000 0.0000 0.5000
Ba6 Ba 0.5000 0.5000 0.0000
Ba7 Ba 0.7500 0.2500 0.7500
Ba8 Ba 0.7500 0.7500 0.2500
Lu1 Lu 0.0000 0.0000 0.5000
Lu2 Lu 0.0000 0.5000 0.0000
Lu3 Lu 0.5000 0.0000 0.0000
Lu4 Lu 0.5000 0.5000 0.5000
Ir1 Ir 0.2500 0.2500 0.7500
Ir2 Ir 0.2500 0.7500 0.2500
Ir3 Ir 0.7500 0.2500 0.2500
Ir4 Ir 0.7500 0.7500 0.7500
# - Symmetry: F-43m


(12)
# PBE-GGA BaLuIr, relaxed
data_BaLuIr
_cell_length_a 7.0971
_cell_length_b 7.0971
_cell_length_c 7.0971
_cell_angle_alpha 90.00
_cell_angle_beta 90.00
_cell_angle_gamma 90.00
_space_group_name_H-M_alt 'P 1'
_space_group_IT_number 1
loop_
_space_group_symop_operation_xyz
'x,y,z'
loop_
_atom_site_label
_atom_site_type_symbol
_atom_site_fract_x
_atom_site_fract_y
_atom_site_fract_z
Ba1 Ba 0.0000 0.0000 0.0000
Ba2 Ba 0.0000 0.5000 0.5000
Ba3 Ba 0.5000 0.0000 0.5000
Ba4 Ba 0.5000 0.5000 0.0000
Lu1 Lu 0.0000 0.0000 0.5000
Lu2 Lu 0.0000 0.5000 0.0000
Lu3 Lu 0.5000 0.0000 0.0000
Lu4 Lu 0.5000 0.5000 0.5000
Ir1 Ir 0.2500 0.2500 0.2500
Ir2 Ir 0.2500 0.7500 0.7500
Ir3 Ir 0.7500 0.2500 0.7500
Ir4 Ir 0.7500 0.7500 0.2500
# - Energy relative to the lowest polymorph listed for this composition: 0 meV/atom
# - Symmetry: F-43m


(13)
# PBE-GGA BaLuIr, relaxed
data_BaLuIr
_cell_length_a 6.9707
_cell_length_b 6.9707
_cell_length_c 6.9707
_cell_angle_alpha 90.00
_cell_angle_beta 90.00
_cell_angle_gamma 90.00
_space_group_name_H-M_alt 'P 1'
_space_group_IT_number 1
loop_
_space_group_symop_operation_xyz
'x,y,z'
loop_
_atom_site_label
_atom_site_type_symbol
_atom_site_fract_x
_atom_site_fract_y
_atom_site_fract_z
Ba1 Ba 0.0000 0.0000 0.0000
Ba2 Ba 0.0000 0.5000 0.5000
Ba3 Ba 0.5000 0.0000 0.5000
Ba4 Ba 0.5000 0.5000 0.0000
Lu1 Lu 0.2500 0.2500 0.2500
Lu2 Lu 0.2500 0.7500 0.7500
Lu3 Lu 0.7500 0.2500 0.7500
Lu4 Lu 0.7500 0.7500 0.2500
Ir1 Ir 0.2500 0.2500 0.7500
Ir2 Ir 0.2500 0.7500 0.2500
Ir3 Ir 0.7500 0.2500 0.2500
Ir4 Ir 0.7500 0.7500 0.7500
# - Energy relative to the lowest polymorph listed for this composition: 1063 meV/atom
# - Symmetry: F-43m


no.,uncorrected energy (eV per atom),size of the total moment (Bohr magnetons per cell)
1,-3.758,0.0
2,-4.283,0.2
3,-7.019,4.0
4,-4.083,0.0
5,-6.221,4.0
6,-5.480,0.3
7,-5.021,9.8
8,-5.430,8.5
9,-5.627,0.0
10,-4.685,0.0
11,-3.994,0.0
12,-5.271,0.0
13,-4.208,0.0